Record 1
DFT (PBE) results for a geometry-optimized CuPPtS2 structure.

Cell: 4.9546 4.9546 4.3925 Å, 90.00 90.00 90.00°
Sites, in units of the cell vectors:
1 Cu 0.0000 0.0000 0.0000
2 P 0.5000 0.5000 0.0000
3 Pt 0.5000 0.5000 0.5000
4 S 0.0000 0.5000 0.5000
5 S 0.5000 0.0000 0.5000

Properties
- total energy (eV per cell) = -19.5
- density (g cm⁻³) = 5.45
- uncorrected formation energy (eV per atom) = 0.862
- total magnetization (Bohr magnetons per cell) = 0.39

Record 2
DFT (PBE) results for a geometry-optimized AcNd2MnN4 structure.

Cell: 6.3142 6.3142 12.1504 Å, 90.00 90.00 147.08°
Sites, in units of the cell vectors:
1 Ac 0.1002 0.8998 0.7500
2 Ac 0.8998 0.1002 0.2500
3 Nd 0.3689 0.6311 0.5456
4 Nd 0.3689 0.6311 0.9544
5 Nd 0.6311 0.3689 0.0456
6 Nd 0.6311 0.3689 0.4544
7 Mn 0.1698 0.8302 0.2500
8 Mn 0.8302 0.1698 0.7500
9 N 0.0000 0.0000 0.0000
10 N 0.0000 0.0000 0.5000
11 N 0.2693 0.7307 0.1315
12 N 0.2693 0.7307 0.3685
13 N 0.4137 0.5863 0.7500
14 N 0.5863 0.4137 0.2500
15 N 0.7307 0.2693 0.6315
16 N 0.7307 0.2693 0.8685

Properties
- total energy (eV per cell) = -128.2
- density (g cm⁻³) = 7.90
- uncorrected formation energy (eV per atom) = -1.000
- total magnetization (Bohr magnetons per cell) = 7.37

Record 3
DFT (PBE) results for a geometry-optimized SrLiCo3 structure.

Cell: 4.3429 4.3429 4.3429 Å, 90.00 90.00 90.00°
Sites, in units of the cell vectors:
1 Sr 0.0000 0.0000 0.0000
2 Li 0.5000 0.5000 0.5000
3 Co 0.0000 0.5000 0.5000
4 Co 0.5000 0.0000 0.5000
5 Co 0.5000 0.5000 0.0000

Properties
- total energy (eV per cell) = -20.4
- density (g cm⁻³) = 5.50
- ΔE_f (eV per formula unit) = 4.52
- total magnetization (Bohr magnetons per cell) = 3.74

Record 4
DFT (PBE) results for a geometry-optimized MnReSb2 structure.

Cell: 8.6484 8.6484 8.6484 Å, 21.45 21.45 21.45°
Sites, in units of the cell vectors:
1 Mn 0.0000 0.0000 0.0000
2 Re 0.5000 0.5000 0.5000
3 Sb 0.2478 0.2478 0.2478
4 Sb 0.7522 0.7522 0.7522

Properties
- total energy (eV per cell) = -27.9
- density (g cm⁻³) = 10.62
- uncorrected formation energy (eV per atom) = 0.487
- total magnetization (Bohr magnetons per cell) = 3.61

Record 5
DFT (PBE) results for a geometry-optimized RbCr3Ni structure.

Cell: 4.8998 4.8998 4.8998 Å, 90.00 90.00 90.00°
Sites, in units of the cell vectors:
1 Rb 0.0000 0.0000 0.0000
2 Cr 0.0000 0.5000 0.5000
3 Cr 0.5000 0.0000 0.5000
4 Cr 0.5000 0.5000 0.0000
5 Ni 0.5000 0.5000 0.5000

Properties
- total energy (eV per cell) = -29.3
- density (g cm⁻³) = 4.24
- ΔE_f (eV per formula unit) = 6.29
- total magnetization (Bohr magnetons per cell) = 13.13

Record 6
DFT (PBE) results for a geometry-optimized MnGaSiRhSe structure.

Cell: 3.1498 3.1498 7.9605 Å, 90.00 90.00 90.00°
Sites, in units of the cell vectors:
1 Mn 0.0000 0.0000 0.0000
2 Ga 0.5000 0.5000 0.8187
3 Si 0.0000 0.0000 0.6153
4 Rh 0.5000 0.5000 0.4941
5 Se 0.5000 0.5000 0.1721

Properties
- total energy (eV per cell) = -29.7
- density (g cm⁻³) = 7.04
- uncorrected formation energy (eV per atom) = -0.255
- total magnetization (Bohr magnetons per cell) = 2.55